! InRh2I PBE-GGA optimized geometry; values from VASP
! * E: -35.48 eV/cell
! * ΔE_f (raw): 0.313 eV/atom
! * energy above the most stable polymorph in this dataset: 0.0158 eV per atom
&SYSTEM
  ibrav = 0, nat = 8, ntyp = 3
/
ATOMIC_SPECIES
In 114.82 In.upf
Rh 102.91 Rh.upf
I 126.90 I.upf
CELL_PARAMETERS angstrom
-2.3025 2.3025 8.3010
2.3025 -2.3025 8.3010
2.3025 2.3025 -8.3010
ATOMIC_POSITIONS crystal
In 0.0000 0.0000 0.0000
In 0.7500 0.2500 0.5000
Rh 0.1595 0.6250 0.0345
Rh 0.3750 0.4095 0.5345
Rh 0.5905 0.1250 0.9655
Rh 0.8750 0.8405 0.4655
I 0.2500 0.7500 0.5000
I 0.5000 0.5000 0.0000

---

! Ba4H5Rh PBE-GGA optimized geometry; values from VASP
! * E: -68.62 eV/cell
&SYSTEM
  ibrav = 0, nat = 20, ntyp = 3
/
ATOMIC_SPECIES
Ba 137.33 Ba.upf
H 1.01 H.upf
Rh 102.91 Rh.upf
CELL_PARAMETERS angstrom
8.9405 0.0000 0.0000
0.0000 9.9173 0.0000
0.0000 0.0000 5.4776
ATOMIC_POSITIONS crystal
Ba 0.0351 0.2500 0.0150
Ba 0.2500 0.5366 0.5514
Ba 0.2500 0.9634 0.5514
Ba 0.4649 0.2500 0.0150
Ba 0.5351 0.7500 0.9850
Ba 0.7500 0.0366 0.4486
Ba 0.7500 0.4634 0.4486
Ba 0.9649 0.7500 0.9850
H 0.0396 0.5118 0.2276
H 0.0396 0.9882 0.2276
H 0.2500 0.7500 0.8700
H 0.4604 0.5118 0.2276
H 0.4604 0.9882 0.2276
H 0.5396 0.0118 0.7724
H 0.5396 0.4882 0.7724
H 0.7500 0.2500 0.1300
H 0.9604 0.0118 0.7724
H 0.9604 0.4882 0.7724
Rh 0.2500 0.2500 0.5791
Rh 0.7500 0.7500 0.4209

---

! AsCS2 PBE-GGA optimized geometry; values from VASP
! * E: -20.17 eV/cell
! * ΔE_f (raw): 0.491 eV/atom
! * energy above the most stable polymorph in this dataset: 0.0000 eV per atom
&SYSTEM
  ibrav = 0, nat = 4, ntyp = 3
/
ATOMIC_SPECIES
As 74.92 As.upf
C 12.01 C.upf
S 32.06 S.upf
CELL_PARAMETERS angstrom
4.1303 0.0000 0.0000
-1.6351 4.3332 0.0000
-1.3986 -1.7533 5.6784
ATOMIC_POSITIONS crystal
As 0.0000 0.0000 0.0000
C 0.5953 0.5879 0.9306
S 0.4176 0.2068 0.7513
S 0.4812 0.7551 0.1603

---

! CsMo3Cl7 PBE-GGA optimized geometry; values from VASP
! * E: -235.60 eV/cell
! * ΔE_f (raw): -1.148 eV/atom
&SYSTEM
  ibrav = 0, nat = 44, ntyp = 3
/
ATOMIC_SPECIES
Cs 132.91 Cs.upf
Mo 95.94 Mo.upf
Cl 35.45 Cl.upf
CELL_PARAMETERS angstrom
9.9886 0.0000 0.0000
-4.9943 8.6504 0.0000
0.0000 0.0000 15.6457
ATOMIC_POSITIONS crystal
Cs 0.0000 0.0000 0.0000
Cs 0.0000 0.0000 0.5000
Cs 0.3333 0.6667 0.2201
Cs 0.6667 0.3333 0.7201
Mo 0.1781 0.6601 0.6777
Mo 0.1830 0.5124 0.8146
Mo 0.3295 0.8170 0.8146
Mo 0.3399 0.5180 0.6777
Mo 0.4820 0.8219 0.6777
Mo 0.4876 0.6705 0.8146
Mo 0.5124 0.1830 0.3146
Mo 0.5180 0.3399 0.1777
Mo 0.6601 0.1781 0.1777
Mo 0.6705 0.4876 0.3146
Mo 0.8170 0.3295 0.3146
Mo 0.8219 0.4820 0.1777
Cl 0.0243 0.3322 0.3992
Cl 0.0357 0.6818 0.0928
Cl 0.0421 0.6610 0.8126
Cl 0.0523 0.3711 0.6796
Cl 0.3080 0.9757 0.3992
Cl 0.3182 0.3539 0.0928
Cl 0.3188 0.9477 0.6796
Cl 0.3322 0.0243 0.8992
Cl 0.3333 0.6667 0.5516
Cl 0.3333 0.6667 0.9404
Cl 0.3390 0.3811 0.8126
Cl 0.3539 0.3182 0.5928
Cl 0.3711 0.0523 0.1796
Cl 0.3811 0.3390 0.3126
Cl 0.6189 0.9579 0.8126
Cl 0.6289 0.6812 0.6796
Cl 0.6461 0.9643 0.0928
Cl 0.6610 0.0421 0.3126
Cl 0.6667 0.3333 0.0516
Cl 0.6667 0.3333 0.4404
Cl 0.6678 0.6920 0.3992
Cl 0.6812 0.6289 0.1796
Cl 0.6818 0.0357 0.5928
Cl 0.6920 0.6678 0.8992
Cl 0.9477 0.3188 0.1796
Cl 0.9579 0.6189 0.3126
Cl 0.9643 0.6461 0.5928
Cl 0.9757 0.3080 0.8992

---

! Tm3LuFe PBE-GGA optimized geometry; values from VASP
! * E: -25.89 eV/cell
! * formation enthalpy at 0 K: 0.102 eV per atom
&SYSTEM
  ibrav = 0, nat = 5, ntyp = 3
/
ATOMIC_SPECIES
Tm 168.93 Tm.upf
Lu 174.97 Lu.upf
Fe 55.84 Fe.upf
CELL_PARAMETERS angstrom
5.1694 0.0000 0.0000
0.0000 5.1694 0.0000
0.0000 0.0000 5.1694
ATOMIC_POSITIONS crystal
Tm 0.0000 0.0000 0.5000
Tm 0.0000 0.5000 0.0000
Tm 0.5000 0.0000 0.0000
Lu 0.5000 0.5000 0.5000
Fe 0.0000 0.0000 0.0000

---

! CeMgSn2 PBE-GGA optimized geometry; values from VASP
! * E: -17.61 eV/cell
! * formation enthalpy at 0 K: -0.520 eV per atom
&SYSTEM
  ibrav = 0, nat = 4, ntyp = 3
/
ATOMIC_SPECIES
Ce 140.12 Ce.upf
Mg 24.30 Mg.upf
Sn 118.71 Sn.upf
CELL_PARAMETERS angstrom
4.7800 0.0000 0.0000
0.0000 4.7800 0.0000
0.0000 0.0000 4.4563
ATOMIC_POSITIONS crystal
Ce 0.0000 0.0000 0.0000
Mg 0.5000 0.5000 0.0000
Sn 0.0000 0.5000 0.5000
Sn 0.5000 0.0000 0.5000

---

! AcEuHo PBE-GGA optimized geometry; values from VASP
! * E: -18.77 eV/cell
! * formation enthalpy at 0 K: 0.062 eV per atom
&SYSTEM
  ibrav = 0, nat = 3, ntyp = 3
/
ATOMIC_SPECIES
Ac 227.00 Ac.upf
Eu 151.96 Eu.upf
Ho 164.93 Ho.upf
CELL_PARAMETERS angstrom
3.8111 0.0000 0.0000
-1.9055 3.3005 0.0000
0.0000 0.0000 9.2341
ATOMIC_POSITIONS crystal
Ac 0.0000 0.0000 0.0000
Eu 0.3333 0.6667 0.6422
Ho 0.6667 0.3333 0.3185

---

! Ca2Pu4Sb3N2 PBE-GGA optimized geometry; values from VASP
! * E: -100.74 eV/cell
! * ΔE_f (raw): -0.945 eV/atom
&SYSTEM
  ibrav = 0, nat = 11, ntyp = 4
/
ATOMIC_SPECIES
Ca 40.08 Ca.upf
Pu 244.00 Pu.upf
Sb 121.76 Sb.upf
N 14.01 N.upf
CELL_PARAMETERS angstrom
-2.3325 2.3325 12.8540
2.3325 -2.3325 12.8540
2.3325 2.3325 -12.8540
ATOMIC_POSITIONS crystal
Ca 0.1968 0.1968 0.0000
Ca 0.8032 0.8032 0.0000
Pu 0.0865 0.5865 0.5000
Pu 0.4135 0.9135 0.5000
Pu 0.5865 0.0865 0.5000
Pu 0.9135 0.4135 0.5000
Sb 0.3231 0.3231 0.0000
Sb 0.5000 0.5000 0.0000
Sb 0.6769 0.6769 0.0000
N 0.1001 0.1001 0.0000
N 0.8999 0.8999 0.0000

---

! Pm3Nd2Tm6 PBE-GGA optimized geometry; values from VASP
! * E: -47.75 eV/cell
! * energy above the most stable polymorph in this dataset: 0.0736 eV per atom
! * formation enthalpy at 0 K: 0.261 eV per atom
&SYSTEM
  ibrav = 0, nat = 11, ntyp = 3
/
ATOMIC_SPECIES
Pm 145.00 Pm.upf
Nd 144.24 Nd.upf
Tm 168.93 Tm.upf
CELL_PARAMETERS angstrom
-2.3734 2.3734 16.5256
2.3734 -2.3734 16.5256
2.3734 2.3734 -16.5256
ATOMIC_POSITIONS crystal
Pm 0.0000 0.0000 0.0000
Pm 0.2045 0.2045 0.0000
Pm 0.7955 0.7955 0.0000
Nd 0.4535 0.4535 0.0000
Nd 0.5465 0.5465 0.0000
Tm 0.1214 0.6214 0.5000
Tm 0.3081 0.3081 0.0000
Tm 0.3786 0.8786 0.5000
Tm 0.6214 0.1214 0.5000
Tm 0.6919 0.6919 0.0000
Tm 0.8786 0.3786 0.5000

---

! Si4SbMo PBE-GGA optimized geometry; values from VASP
! * E: -33.19 eV/cell
! * ΔE_f (raw): 0.576 eV/atom
&SYSTEM
  ibrav = 0, nat = 6, ntyp = 3
/
ATOMIC_SPECIES
Si 28.09 Si.upf
Sb 121.76 Sb.upf
Mo 95.94 Mo.upf
CELL_PARAMETERS angstrom
0.0000 3.6394 3.6394
3.6394 0.0000 3.6394
3.6394 3.6394 0.0000
ATOMIC_POSITIONS crystal
Si 0.3755 0.3755 0.3755
Si 0.3755 0.3755 0.8735
Si 0.3755 0.8735 0.3755
Si 0.8735 0.3755 0.3755
Sb 0.0000 0.0000 0.0000
Mo 0.7500 0.7500 0.7500

---

! LaInP2Cl PBE-GGA optimized geometry; values from VASP
! * E: -21.57 eV/cell
! * ΔE_f (raw): -0.247 eV/atom
! * energy above the most stable polymorph in this dataset: 0.0614 eV per atom
&SYSTEM
  ibrav = 0, nat = 5, ntyp = 4
/
ATOMIC_SPECIES
La 138.91 La.upf
In 114.82 In.upf
P 30.97 P.upf
Cl 35.45 Cl.upf
CELL_PARAMETERS angstrom
4.5648 0.0000 0.0000
0.0000 5.0092 0.0000
0.0000 0.0000 5.8917
ATOMIC_POSITIONS crystal
La 0.0000 0.0000 0.0000
In 0.0000 0.5000 0.5000
P 0.0000 0.0000 0.5000
P 0.5000 0.5000 0.0000
Cl 0.5000 0.0000 0.5000

---

! Pu2Cu3Tc PBE-GGA optimized geometry; values from VASP
! * E: -51.62 eV/cell
! * formation enthalpy at 0 K: -0.050 eV per atom
&SYSTEM
  ibrav = 0, nat = 6, ntyp = 3
/
ATOMIC_SPECIES
Pu 244.00 Pu.upf
Cu 63.55 Cu.upf
Tc 98.00 Tc.upf
CELL_PARAMETERS angstrom
4.3654 -2.5255 0.0000
4.3654 2.5255 0.0000
-2.9119 0.0000 4.5876
ATOMIC_POSITIONS crystal
Pu 0.1347 0.1347 0.4038
Pu 0.8653 0.8653 0.5962
Cu 0.0000 0.5000 0.0000
Cu 0.5000 0.0000 0.0000
Cu 0.5000 0.5000 0.0000
Tc 0.5000 0.5000 0.5000

---

> Which value of E does entry 9 give?

-47.75 eV/cell